Entry 1:
## SiAg2P (PBE)

Data for a geometry-optimized SiAg2P structure.

Cell lengths 6.5250, 6.5250, 6.5250 Å; angles 90.00, 90.00, 90.00 degrees
Last column: nearest neighbours and their distance in Å.
Space group Fm-3m (No. 225)
Symmetry-distinct sites (fractional):
Si 0.0000 0.0000 0.0000 x4  8 Ag 2.83
Ag 0.2500 0.2500 0.2500 x8  4 Si 2.83, 4 P 2.83
P 0.0000 0.0000 0.5000 x4  8 Ag 2.83

Energy relative to the lowest polymorph listed for this composition: 0.2966 eV/atom
Formation energy without anion corrections: 459 meV per atom



Entry 2:
## Sc4Sb2AsSe (PBE)

Data for a geometry-optimized Sc4Sb2AsSe structure.

Cell lengths 6.9263, 4.0043, 7.0088 Å; angles 90.00, 109.17, 90.00 degrees
Last column: nearest neighbours and their distance in Å.
Space group P2/m (No. 10)
Symmetry-distinct sites (fractional):
Sc 0.2391 0.0000 0.2308 x2  2 As 2.76, 1 Se 2.79, 3 Sb 2.89-2.93
Sc 0.2503 0.5000 0.7659 x2  1 As 2.75, 2 Se 2.80, 3 Sb 2.89-2.93
Sb 0.0000 0.0000 0.5000 x1  6 Sc 2.89
Sb 0.5000 0.5000 0.5000 x1  6 Sc 2.93
As 0.0000 0.5000 0.0000 x1  6 Sc 2.75-2.76
Se 0.5000 0.0000 0.0000 x1  6 Sc 2.79-2.80

Formation energy without anion corrections: -1224 meV per atom



Entry 3:
## ErHfAsP (PBE)

Data for a geometry-optimized ErHfAsP structure.

Cell lengths 3.8154, 3.8154, 19.9658 Å; angles 90.00, 90.00, 120.00 degrees
Last column: nearest neighbours and their distance in Å.
Space group R3m (No. 160, hexagonal axes)
Symmetry-distinct sites (fractional):
Er 0.0000 0.0000 0.0000 x3  3 P 2.76, 3 As 2.92
Hf 0.0000 0.0000 0.1800 x3  3 P 2.61, 3 As 2.77
As 0.0000 0.0000 0.7626 x3  3 Hf 2.77, 3 Er 2.92
P 0.0000 0.0000 0.5831 x3  3 Hf 2.61, 3 Er 2.76

Formation energy from the elements: -1.279 eV per atom



Entry 4:
## Tb3YSc3 (PBE)

Data for a geometry-optimized Tb3YSc3 structure.

Cell lengths 9.2505, 9.2505, 5.4677 Å; angles 90.00, 90.00, 120.00 degrees
Last column: nearest neighbours and their distance in Å.
Space group P6_3/m (No. 176)
Symmetry-distinct sites (fractional):
Tb 0.0450 0.2445 0.2500 x6  5 Sc 3.38-3.56, 6 Tb 3.44-3.61, 1 Y 3.46
Y 0.3333 0.6667 0.2500 x2  9 Sc 3.39-3.49, 3 Tb 3.46
Sc 0.0947 0.4803 0.7500 x6  4 Sc 3.36-3.48, 5 Tb 3.38-3.56, 3 Y 3.39-3.49

Energy relative to the lowest polymorph listed for this composition: 0.0000 eV/atom
Formation energy from the elements: 0.030 eV per atom



Entry 5:
## Nd4Ho5Er2 (PBE)

Data for a geometry-optimized Nd4Ho5Er2 structure.

Cell lengths 3.4994, 9.2373, 22.9368 Å; angles 90.00, 90.00, 90.00 degrees
Last column: nearest neighbours and their distance in Å.
Space group Immm (No. 71)
Symmetry-distinct sites (fractional):
Nd 0.0000 0.0000 0.0963 x4  1 Er 3.07, 4 Nd 3.40
Nd 0.0000 0.2942 0.5000 x4  4 Ho 3.23-3.52, 6 Nd 3.40-3.50
Ho 0.0000 0.2001 0.3513 x8  1 Er 3.34, 3 Nd 3.49-3.52, 3 Ho 3.50-3.70
Ho 0.0000 0.5000 0.0000 x2  4 Nd 3.23, 2 Ho 3.50
Er 0.0000 0.0000 0.2301 x4  1 Nd 3.07, 2 Ho 3.34

Energy relative to the lowest polymorph listed for this composition: 0.1791 eV/atom
Formation energy from the elements: 0.287 eV per atom



Entry 6:
## CdAs2CBr (PBE)

Data for a geometry-optimized CdAs2CBr structure.

Cell lengths 5.2370, 5.2370, 5.4583 Å; angles 90.00, 90.00, 90.00 degrees
Last column: nearest neighbours and their distance in Å.
Space group P4/mmm (No. 123)
Symmetry-distinct sites (fractional):
Cd 0.0000 0.0000 0.0000 x1  4 As 2.62, 2 Br 2.73
As 0.0000 0.5000 0.0000 x2  2 Cd 2.62
C 0.5000 0.5000 0.5000 x1  4 Br 3.70, 8 As 3.78
Br 0.0000 0.0000 0.5000 x1  2 Cd 2.73

Energy relative to the lowest polymorph listed for this composition: 1.1124 eV/atom
Formation energy without anion corrections: 2025 meV per atom



Entry 7:
## BaGeAs2Se (PBE)

Data for a geometry-optimized BaGeAs2Se structure.

Cell lengths 5.0614, 5.0614, 5.3328 Å; angles 90.00, 90.00, 90.00 degrees
Last column: nearest neighbours and their distance in Å.
Space group P4/mmm (No. 123)
Symmetry-distinct sites (fractional):
Ba 0.0000 0.0000 0.0000 x1  4 Se 3.58, 8 As 3.68
Ge 0.5000 0.5000 0.5000 x1  4 As 2.53, 2 Se 2.67
As 0.0000 0.5000 0.5000 x2  2 Ge 2.53
Se 0.5000 0.5000 0.0000 x1  2 Ge 2.67

Energy relative to the lowest polymorph listed for this composition: 0.0000 eV/atom
Formation energy without anion corrections: -277 meV per atom



Entry 8:
## Ac4TePt2 (PBE)

Data for a geometry-optimized Ac4TePt2 structure.

Cell lengths 4.4508, 4.4508, 45.4763 Å; angles 90.00, 90.00, 120.00 degrees
Last column: nearest neighbours and their distance in Å.
Space group R-3m (No. 166, hexagonal axes)
Symmetry-distinct sites (fractional):
Ac 0.0000 0.0000 0.1244 x6  3 Pt 3.01
Ac 0.0000 0.0000 0.2824 x6  3 Pt 3.12, 3 Te 3.46
Te 0.0000 0.0000 0.0000 x3  6 Ac 3.46
Pt 0.0000 0.0000 0.4231 x6  6 Ac 3.01-3.12

Formation energy without anion corrections: -1118 meV per atom



| no. | total magnetic moment (μB/cell) |
| --- | --- |
| 1 | 0.0 |
| 2 | 0.0 |
| 3 | 0.0 |
| 4 | 0.3 |
| 5 | 0.0 |
| 6 | 0.0 |
| 7 | 0.0 |
| 8 | 0.0 |